TlInIr2 | GGA-PBE | optimized geometry

Unit cell a=5.301 b=5.301 c=5.301 alpha=135.45 beta=135.45 gamma=64.83
Fractional coordinates of all 4 atoms:
1 In 0.750 0.250 0.500
2 Ir 0.000 0.000 0.000
3 Ir 0.250 0.750 0.500
4 Tl 0.500 0.500 0.000

Output
Total moment, μB/atom: 0.000
Energy of formation, eV/atom: 0.46
Energy, eV per atom: -5.25
Offset from the most stable computed form, eV/atom: 0.189

***

TlInIr2 | GGA-PBE | optimized geometry

Unit cell a=10.553 b=10.553 c=10.553 alpha=16.20 beta=16.20 gamma=16.20
Fractional coordinates of all 4 atoms:
1 In 0.734 0.734 0.734
2 Ir 0.260 0.260 0.260
3 Ir 0.993 0.993 0.993
4 Tl 0.513 0.513 0.513

Output
Total moment, μB/atom: 0.000
Energy of formation, eV/atom: 0.49
Energy, eV per atom: -5.21
Offset from the most stable computed form, eV/atom: 0.222